1.
DFT (GGA-PBE) results for Tb5Sm6 after structural relaxation.

Calculated values
As for the crystal system: monoclinic. For the energy of formation from the pure elements, the calculation gives 13.18 kJ per mole of atoms. The space group is C2/m, No. 12.

CIF file:
```
data_Tb5Sm6
_cell_length_a 9.4013
_cell_length_b 8.0897
_cell_length_c 6.3057
_cell_angle_alpha 79.16
_cell_angle_beta 71.12
_cell_angle_gamma 54.47
_space_group_name_H-M_alt 'P 1'
_space_group_IT_number 1
_space_group_name_Hall 'P 1'
loop_
_atom_site_label
_atom_site_type_symbol
_atom_site_fract_x
_atom_site_fract_y
_atom_site_fract_z
Tb1 Tb 0.7597 0.4806 0.5000
Sm1 Sm 0.0455 0.2700 0.8382
Sm2 Sm 0.3155 0.7300 0.8382
Sm3 Sm 0.6845 0.2700 0.1618
Tb2 Tb 0.6271 0.7458 0.0000
Tb3 Tb 0.5000 0.0000 0.5000
Sm4 Sm 0.8255 0.0000 0.6722
Tb4 Tb 0.2403 0.5194 0.5000
Tb5 Tb 0.3729 0.2542 0.0000
Sm5 Sm 0.1745 0.0000 0.3278
Sm6 Sm 0.9545 0.7300 0.1618
```

2.
DFT (GGA-PBE) results for ZnReCl2 after structural relaxation.

Calculated values
The polymorph energy (0 for the lowest one) comes out at 80.9 meV/atom. As for the crystal system: orthorhombic. As for the uncorrected formation energy: 0.061 eV/atom. The space group is Immm, No. 71.

CIF file:
```
data_ZnReCl2
_cell_length_a 7.5075
_cell_length_b 7.5075
_cell_length_c 4.5202
_cell_angle_alpha 72.47
_cell_angle_beta 72.47
_cell_angle_gamma 22.50
_space_group_name_H-M_alt 'P 1'
_space_group_IT_number 1
_space_group_name_Hall 'P 1'
loop_
_atom_site_label
_atom_site_type_symbol
_atom_site_fract_x
_atom_site_fract_y
_atom_site_fract_z
Cl1 Cl 0.3905 0.3905 0.6101
Zn1 Zn 0.2500 0.2500 0.2500
Re1 Re 0.7500 0.7500 0.7500
Cl2 Cl 0.1095 0.1095 0.8899
```

3.
DFT (GGA-PBE) results for NiRh2SeN after structural relaxation.

Calculated values
As for the crystal system: tetragonal. As for the uncorrected formation energy: 1.629 eV/atom. The space group is P4/mmm, No. 123.

CIF file:
```
data_NiRh2SeN
_cell_length_a 4.5909
_cell_length_b 4.3056
_cell_length_c 4.5909
_cell_angle_alpha 90.00
_cell_angle_beta 90.00
_cell_angle_gamma 90.00
_space_group_name_H-M_alt 'P 1'
_space_group_IT_number 1
_space_group_name_Hall 'P 1'
loop_
_atom_site_label
_atom_site_type_symbol
_atom_site_fract_x
_atom_site_fract_y
_atom_site_fract_z
Rh1 Rh 0.5000 0.0000 0.0000
Rh2 Rh 0.0000 0.0000 0.5000
Ni1 Ni 0.0000 0.5000 0.0000
N1 N 0.5000 0.5000 0.5000
Se1 Se 0.0000 0.0000 0.0000
```

4.
DFT (GGA-PBE) results for Pm3Sm12Th after structural relaxation.

Calculated values
As for the crystal system: tetragonal. For the energy of formation from the pure elements, the calculation gives 2.12 kJ per mole of atoms. The space group is P4/mmm, No. 123.

CIF file:
```
data_Pm3Sm12Th
_cell_length_a 5.1328
_cell_length_b 5.1328
_cell_length_c 20.5232
_cell_angle_alpha 90.00
_cell_angle_beta 90.00
_cell_angle_gamma 90.00
_space_group_name_H-M_alt 'P 1'
_space_group_IT_number 1
_space_group_name_Hall 'P 1'
loop_
_atom_site_label
_atom_site_type_symbol
_atom_site_fract_x
_atom_site_fract_y
_atom_site_fract_z
Sm1 Sm 0.0000 0.5000 0.8778
Sm2 Sm 0.5000 0.5000 0.7499
Sm3 Sm 0.5000 0.5000 0.2501
Pm1 Pm 0.0000 0.0000 0.7508
Pm2 Pm 0.0000 0.0000 0.5000
Sm4 Sm 0.0000 0.5000 0.6256
Sm5 Sm 0.0000 0.5000 0.1222
Sm6 Sm 0.5000 0.0000 0.3744
Sm7 Sm 0.5000 0.5000 0.5000
Sm8 Sm 0.0000 0.5000 0.3744
Sm9 Sm 0.5000 0.5000 0.0000
Sm10 Sm 0.5000 0.0000 0.6256
Th1 Th 0.0000 0.0000 0.0000
Sm11 Sm 0.5000 0.0000 0.8778
Sm12 Sm 0.5000 0.0000 0.1222
Pm3 Pm 0.0000 0.0000 0.2492
```

5.
DFT (GGA-PBE) results for RbTe2SeI after structural relaxation.

Calculated values
The polymorph energy (0 for the lowest one) comes out at 1059.2 meV/atom. As for the crystal system: tetragonal. As for the uncorrected formation energy: 0.838 eV/atom. The space group is P4/mmm, No. 123.

CIF file:
```
data_RbTe2SeI
_cell_length_a 7.0235
_cell_length_b 7.0235
_cell_length_c 6.8118
_cell_angle_alpha 90.00
_cell_angle_beta 90.00
_cell_angle_gamma 90.00
_space_group_name_H-M_alt 'P 1'
_space_group_IT_number 1
_space_group_name_Hall 'P 1'
loop_
_atom_site_label
_atom_site_type_symbol
_atom_site_fract_x
_atom_site_fract_y
_atom_site_fract_z
I1 I 0.0000 0.0000 0.5000
Te1 Te 0.5000 0.0000 0.0000
Te2 Te 0.0000 0.5000 0.0000
Rb1 Rb 0.0000 0.0000 0.0000
Se1 Se 0.5000 0.5000 0.5000
```

6.
DFT (GGA-PBE) results for PrSnPdAu after structural relaxation.

Calculated values
As for the crystal system: cubic. For the energy of formation from the pure elements, the calculation gives -68.00 kJ per mole of atoms. The space group is F-43m, No. 216.

CIF file:
```
data_PrSnPdAu
_cell_length_a 5.0035
_cell_length_b 5.0035
_cell_length_c 5.0035
_cell_angle_alpha 60.00
_cell_angle_beta 60.00
_cell_angle_gamma 60.00
_space_group_name_H-M_alt 'P 1'
_space_group_IT_number 1
_space_group_name_Hall 'P 1'
loop_
_atom_site_label
_atom_site_type_symbol
_atom_site_fract_x
_atom_site_fract_y
_atom_site_fract_z
Au1 Au 0.7500 0.7500 0.7500
Sn1 Sn 0.5000 0.5000 0.5000
Pr1 Pr 0.0000 0.0000 0.0000
Pd1 Pd 0.2500 0.2500 0.2500
```

7.
DFT (GGA-PBE) results for LiEr2ZrSe4 after structural relaxation.

Calculated values
As for the crystal system: monoclinic. As for the uncorrected formation energy: -1.535 eV/atom. The space group is P2/m, No. 10.

CIF file:
```
data_LiEr2ZrSe4
_cell_length_a 3.9527
_cell_length_b 6.7085
_cell_length_c 6.9946
_cell_angle_alpha 70.89
_cell_angle_beta 90.00
_cell_angle_gamma 90.00
_space_group_name_H-M_alt 'P 1'
_space_group_IT_number 1
_space_group_name_Hall 'P 1'
loop_
_atom_site_label
_atom_site_type_symbol
_atom_site_fract_x
_atom_site_fract_y
_atom_site_fract_z
Er1 Er 0.0000 0.0000 0.0000
Se1 Se 0.0000 0.2622 0.2432
Er2 Er 0.5000 0.0000 0.5000
Se2 Se 0.5000 0.2621 0.7537
Li1 Li 0.5000 0.5000 0.0000
Se3 Se 0.5000 0.7379 0.2463
Se4 Se 0.0000 0.7378 0.7568
Zr1 Zr 0.0000 0.5000 0.5000
```

8.
DFT (GGA-PBE) results for AcGeO after structural relaxation.

Calculated values
The polymorph energy (0 for the lowest one) comes out at 0.0 meV/atom. As for the crystal system: monoclinic. As for the uncorrected formation energy: -2.080 eV/atom. The space group is P2_1/m, No. 11.

CIF file:
```
data_AcGeO
_cell_length_a 4.3157
_cell_length_b 4.1822
_cell_length_c 7.9636
_cell_angle_alpha 90.00
_cell_angle_beta 74.39
_cell_angle_gamma 90.00
_space_group_name_H-M_alt 'P 1'
_space_group_IT_number 1
_space_group_name_Hall 'P 1'
loop_
_atom_site_label
_atom_site_type_symbol
_atom_site_fract_x
_atom_site_fract_y
_atom_site_fract_z
Ac1 Ac 0.8960 0.1335 0.9146
O1 O 0.3161 0.1335 0.0759
Ge1 Ge 0.6130 0.1335 0.4920
Ge2 Ge 0.5142 0.6335 0.6688
Ac2 Ac 0.2312 0.6335 0.2462
O2 O 0.8111 0.6335 0.0849
```

9.
DFT (GGA-PBE) results for TeAsHPb2 after structural relaxation.

Calculated values
As for the crystal system: tetragonal. The raw total energy comes out at -3.628 eV/atom. The space group is P4/mmm, No. 123.

CIF file:
```
data_TeAsHPb2
_cell_length_a 6.0201
_cell_length_b 6.0201
_cell_length_c 3.5298
_cell_angle_alpha 90.00
_cell_angle_beta 90.00
_cell_angle_gamma 90.00
_space_group_name_H-M_alt 'P 1'
_space_group_IT_number 1
_space_group_name_Hall 'P 1'
loop_
_atom_site_label
_atom_site_type_symbol
_atom_site_fract_x
_atom_site_fract_y
_atom_site_fract_z
Pb1 Pb 0.5000 0.0000 0.0000
Pb2 Pb 0.0000 0.5000 0.0000
Te1 Te 0.5000 0.5000 0.5000
H1 H 0.0000 0.0000 0.5000
As1 As 0.0000 0.0000 0.0000
```

10.
DFT (GGA-PBE) results for LaTb2SmTl2 after structural relaxation.

Calculated values
As for the crystal system: orthorhombic. For the energy of formation from the pure elements, the calculation gives -26.38 kJ per mole of atoms. The space group is Pmc2_1, No. 26.

CIF file:
```
data_LaTb2SmTl2
_cell_length_a 5.2024
_cell_length_b 6.8638
_cell_length_c 10.2655
_cell_angle_alpha 90.00
_cell_angle_beta 90.00
_cell_angle_gamma 90.00
_space_group_name_H-M_alt 'P 1'
_space_group_IT_number 1
_space_group_name_Hall 'P 1'
loop_
_atom_site_label
_atom_site_type_symbol
_atom_site_fract_x
_atom_site_fract_y
_atom_site_fract_z
Tl1 Tl 0.0000 0.7993 0.1281
La1 La 0.0000 0.9524 0.4561
Tl2 Tl 0.0000 0.2993 0.8719
Tb1 Tb 0.0000 0.3339 0.1814
Sm1 Sm 0.5000 0.1867 0.6921
Tb2 Tb 0.5000 0.0538 0.0429
Sm2 Sm 0.5000 0.6867 0.3079
Tl3 Tl 0.5000 0.2196 0.3564
Tl4 Tl 0.5000 0.7196 0.6436
Tb3 Tb 0.5000 0.5538 0.9571
La2 La 0.0000 0.4524 0.5439
Tb4 Tb 0.0000 0.8339 0.8186
```